[1]
DFT (PBE-GGA) results for a geometry-optimized CeZn5Cu2Pd structure.

The value obtained for the theoretical density is 7.47 Mg/m³. Its formation energy is -0.10 eV/atom.

It has space group P4/mmm (No. 123), with a = 4.696 Å, b = 4.696 Å, c = 7.058 Å, α = 90.00°, β = 90.00° and γ = 90.00°. Symmetry generates all atoms from Ce at (0.000, 0.000, 0.000), Zn at (0.000, 0.500, 0.302), Zn at (0.500, 0.500, 0.000), Cu at (0.500, 0.500, 0.333) and Pd at (0.000, 0.000, 0.500).

=====

[2]
DFT (PBE-GGA) results for a geometry-optimized CrAg2Ru structure.

The value obtained for the theoretical density is 9.57 Mg/m³. Its formation energy is 0.64 eV/atom. For the excess energy over the best structure of this formula in the dataset, the calculation gives 0.3650 eV per atom.

It has space group R-3m (No. 166, hexagonal axes), with a = 2.8005 Å, b = 2.8005 Å, c = 28.2603 Å, α = 90.00°, β = 90.00° and γ = 120.00°. Symmetry generates all atoms from Cr at (0.0000, 0.0000, 0.0000), Ag at (0.0000, 0.0000, 0.2508) and Ru at (0.0000, 0.0000, 0.5000).

=====

[3]
DFT (PBE-GGA) results for a geometry-optimized NbHCl structure.

Its total energy is -5.57 eV/atom. The value obtained for the theoretical density is 4.23 Mg/m³.

It has space group Pca2_1 (No. 29), with a = 5.662 Å, b = 6.634 Å, c = 5.413 Å, α = 90.00°, β = 90.00° and γ = 90.00°. Symmetry generates all atoms from Nb at (0.118, 0.026, 0.000), H at (0.147, 0.853, 0.296) and Cl at (0.092, 0.291, 0.343).

=====

[4]
DFT (PBE-GGA) results for a geometry-optimized Tb6Pr12Mg structure.

The value obtained for the theoretical density is 6.67 Mg/m³. Its formation energy is 0.12 eV/atom. For the excess energy over the best structure of this formula in the dataset, the calculation gives 0.0000 eV per atom.

It has space group R-3 (No. 148, hexagonal axes), with a = 12.1979 Å, b = 12.1979 Å, c = 15.4616 Å, α = 90.00°, β = 90.00° and γ = 120.00°. Symmetry generates all atoms from Tb at (0.0221, 0.5907, 0.1906), Pr at (0.0064, 0.8294, 0.3120), Pr at (0.0471, 0.2002, 0.9154) and Mg at (0.0000, 0.0000, 0.5000).

=====

[5]
DFT (PBE-GGA) results for a geometry-optimized Li3Mg3Hg2 structure.

The value obtained for the theoretical density is 5.25 Mg/m³. Its formation energy is -0.21 eV/atom.

It has space group R32 (No. 155, hexagonal axes), with a = 7.5477 Å, b = 7.5477 Å, c = 9.5185 Å, α = 90.00°, β = 90.00° and γ = 120.00°. Symmetry generates all atoms from Li at (0.0000, 0.2438, 0.0000), Mg at (0.0000, 0.7487, 0.5000) and Hg at (0.0000, 0.0000, 0.2475).

=====

[6]
DFT (PBE-GGA) results for a geometry-optimized CsC3 structure.

The value obtained for the theoretical density is 3.24 Mg/m³. Its formation energy is 1.28 eV/atom. For the excess energy over the best structure of this formula in the dataset, the calculation gives 0.0000 eV per atom.

It has space group Cmmm (No. 65), with a = 5.047 Å, b = 7.367 Å, c = 4.662 Å, α = 90.00°, β = 90.00° and γ = 90.00°. Symmetry generates all atoms from Cs at (0.000, 0.000, 0.000), C at (0.000, 0.321, 0.500) and C at (0.000, 0.500, 0.500).

=====

[7]
DFT (PBE-GGA) results for a geometry-optimized NaMnAg2Br6 structure.

The value obtained for the theoretical density is 4.51 Mg/m³. The value obtained for the formation energy from raw total energies is -0.672 eV per atom.

It has space group P1 (No. 1), with a = 6.877 Å, b = 7.190 Å, c = 7.358 Å, α = 89.91°, β = 63.78° and γ = 63.82°. Symmetry generates all atoms from Na at (0.000, 0.000, 0.000), Mn at (0.985, 0.513, 0.528), Ag at (0.590, 0.734, 0.136), Ag at (0.592, 0.175, 0.600), Br at (0.123, 0.574, 0.770), Br at (0.139, 0.728, 0.304), Br at (0.481, 0.134, 0.296), Br at (0.523, 0.868, 0.794), Br at (0.829, 0.289, 0.748) and Br at (0.844, 0.432, 0.297).

=====

[8]
DFT (PBE-GGA) results for a geometry-optimized Ca2PmScTe4 structure.

The value obtained for the theoretical density is 5.34 Mg/m³. The value obtained for the formation energy from raw total energies is -1.416 eV per atom.

It has space group P2/m (No. 10), with a = 7.582 Å, b = 4.376 Å, c = 7.742 Å, α = 90.00°, β = 109.08° and γ = 90.00°. Symmetry generates all atoms from Ca at (0.000, 0.000, 0.000), Ca at (0.500, 0.500, 0.000), Pm at (0.000, 0.500, 0.500), Sc at (0.500, 0.000, 0.500), Te at (0.260, 0.000, 0.747) and Te at (0.265, 0.500, 0.262).

=====

Q: Look up the theoretical density of the second one.
A: 9.57 Mg/m³